Record 1
Computed, not measured: a relaxed structure of CaTbDy2 at the PBE level of DFT.

POSCAR file:
```
CaTbDy2
1.0
23.9962 0.0000 0.0000
0.0000 3.4881 0.0000
-0.4598 0.0000 6.4190
Ca Tb Dy
4 4 8
Direct
0.0013 0.0000 0.2492 Ca
0.4987 0.5000 0.7508 Ca
0.5013 0.5000 0.2492 Ca
0.9987 0.0000 0.7508 Ca
0.2483 0.0000 0.2485 Tb
0.2517 0.5000 0.7515 Tb
0.7483 0.5000 0.2485 Tb
0.7517 0.0000 0.7515 Tb
0.1273 0.5000 0.0367 Dy
0.1355 0.0000 0.5457 Dy
0.3645 0.5000 0.4543 Dy
0.3727 0.0000 0.9633 Dy
0.6273 0.0000 0.0367 Dy
0.6355 0.5000 0.5457 Dy
0.8645 0.0000 0.4543 Dy
0.8727 0.5000 0.9633 Dy
```

Calculated values
Energy of formation: 121 meV/atom
SG: C2/m
DOS at the Fermi energy: 23.013 states/eV per cell
E above lowest polymorph: 0.061 eV per atom
Density: 6.5 g/cm³
Size of the total moment: 0.000 Bohr magnetons per cell

---

Record 2
Computed, not measured: a relaxed structure of CaTb2Dy at the PBE level of DFT.

POSCAR file:
```
CaTb2Dy
1.0
3.6151 0.0000 0.0000
0.0000 3.6151 0.0000
0.0000 0.0000 10.3735
Ca Tb Dy
1 2 1
Direct
0.0000 0.0000 0.0000 Ca
0.5000 0.5000 0.2692 Tb
0.5000 0.5000 0.7308 Tb
0.0000 0.0000 0.5000 Dy
```

Calculated values
Energy of formation: 68 meV/atom
SG: P4/mmm
DOS at the Fermi energy: 5.789 states/eV per cell
E above lowest polymorph: 0.011 eV per atom
Density: 6.4 g/cm³
Size of the total moment: 0.000 Bohr magnetons per cell

---

Record 3
Computed, not measured: a relaxed structure of CaTb6Dy12 at the PBE level of DFT.

POSCAR file:
```
CaTb6Dy12
1.0
7.5883 4.3811 3.3181
-7.5883 4.3811 3.3181
0.0000 -8.7622 3.3181
Ca Tb Dy
1 6 12
Direct
0.0000 0.0000 0.0000 Ca
0.2605 0.6833 0.6833 Tb
0.3167 0.3167 0.7395 Tb
0.3167 0.7395 0.3167 Tb
0.6833 0.2605 0.6833 Tb
0.6833 0.6833 0.2605 Tb
0.7395 0.3167 0.3167 Tb
0.1106 0.5000 0.8894 Dy
0.1106 0.8894 0.5000 Dy
0.1504 0.3661 0.3661 Dy
0.3661 0.1504 0.3661 Dy
0.3661 0.3661 0.1504 Dy
0.5000 0.1106 0.8894 Dy
0.5000 0.8894 0.1106 Dy
0.6339 0.6339 0.8496 Dy
0.6339 0.8496 0.6339 Dy
0.8496 0.6339 0.6339 Dy
0.8894 0.1106 0.5000 Dy
0.8894 0.5000 0.1106 Dy
```

Calculated values
Energy of formation: 433 meV/atom
SG: R-3m
DOS at the Fermi energy: 23.588 states/eV per cell
Density: 7.4 g/cm³
Size of the total moment: 0.000 Bohr magnetons per cell

---

Record 4
Computed, not measured: a relaxed structure of CaTb4Dy5 at the PBE level of DFT.

POSCAR file:
```
CaTb4Dy5
1.0
3.5752 0.0000 0.0000
0.0000 3.5752 0.0000
0.0000 0.0000 25.4214
Ca Tb Dy
1 4 5
Direct
0.0000 0.0000 0.0000 Ca
0.0000 0.0000 0.2045 Tb
0.0000 0.0000 0.4015 Tb
0.0000 0.0000 0.5985 Tb
0.0000 0.0000 0.7955 Tb
0.5000 0.5000 0.1102 Dy
0.5000 0.5000 0.3039 Dy
0.5000 0.5000 0.5000 Dy
0.5000 0.5000 0.6961 Dy
0.5000 0.5000 0.8898 Dy
```

Calculated values
Energy of formation: 37 meV/atom
SG: P4/mmm
DOS at the Fermi energy: 13.471 states/eV per cell
Density: 7.6 g/cm³
Size of the total moment: 0.001 Bohr magnetons per cell

---

Record 5
Computed, not measured: a relaxed structure of CaTb5Dy7 at the PBE level of DFT.

POSCAR file:
```
CaTb5Dy7
1.0
-3.3296 5.6752 5.7864
3.3296 -5.6752 5.7864
3.3296 5.6752 -5.7864
Ca Tb Dy
1 5 7
Direct
0.0000 0.0000 0.0000 Ca
0.0399 0.0428 0.4751 Tb
0.0399 0.5648 0.9970 Tb
0.2980 0.7980 0.5000 Tb
0.5677 0.0428 0.0030 Tb
0.5677 0.5648 0.5249 Tb
0.2342 0.5544 0.6798 Dy
0.3104 0.3104 0.0000 Dy
0.3959 0.0550 0.3409 Dy
0.6123 0.6123 0.0000 Dy
0.7141 0.0550 0.6591 Dy
0.8096 0.3096 0.5000 Dy
0.8746 0.5544 0.3202 Dy
```

Calculated values
Energy of formation: 251 meV/atom
SG: Imm2
DOS at the Fermi energy: 25.537 states/eV per cell
Density: 7.5 g/cm³
Size of the total moment: 0.004 Bohr magnetons per cell

---

Record 6
Computed, not measured: a relaxed structure of CaTb2Dy at the PBE level of DFT.

POSCAR file:
```
CaTb2Dy
1.0
8.1306 0.0000 0.0000
0.0000 8.1306 0.0000
0.0000 0.0000 8.1306
Ca Tb Dy
4 8 4
Direct
0.0000 0.0000 0.0000 Ca
0.0000 0.5000 0.5000 Ca
0.5000 0.0000 0.5000 Ca
0.5000 0.5000 0.0000 Ca
0.2500 0.2500 0.2500 Tb
0.2500 0.2500 0.7500 Tb
0.2500 0.7500 0.2500 Tb
0.2500 0.7500 0.7500 Tb
0.7500 0.2500 0.2500 Tb
0.7500 0.2500 0.7500 Tb
0.7500 0.7500 0.2500 Tb
0.7500 0.7500 0.7500 Tb
0.0000 0.0000 0.5000 Dy
0.0000 0.5000 0.0000 Dy
0.5000 0.0000 0.0000 Dy
0.5000 0.5000 0.5000 Dy
```

Calculated values
Energy of formation: 166 meV/atom
SG: Fm-3m
DOS at the Fermi energy: 30.762 states/eV per cell
E above lowest polymorph: 0.109 eV per atom
Density: 6.4 g/cm³
Size of the total moment: 0.004 Bohr magnetons per cell